A relaxed structure of La2Nd2InGa4. Source: Alexandria via LeMat-Bulk, functional PBE.

Structure (POSCAR):
```
La2Nd2InGa4
1.0
6.9844 0.0886 0.1278
-3.2749 6.1697 -0.1278
-3.2749 -2.2873 5.7315
La Nd In Ga
2 2 1 4
Direct
0.5000 0.7500 0.2500
0.5000 0.2500 0.7500
0.0000 0.6841 0.6841
0.0000 0.3159 0.3159
0.0000 0.0000 0.0000
0.0000 0.7428 0.2572
0.4857 0.7428 0.7428
0.0000 0.2572 0.7428
0.5143 0.2572 0.2572
```

Summary:
Total energy = -36.519 eV/cell
Volume = 27.80 A^3/atom
Theoretical density = 6.372 Mg/m³
Symmetry = I4/mmm, No. 139